Here is ZrGeOsS2 after structural relaxation from Alexandria. Energies are from GGA-PBE.

abc: 4.5501 4.9040 4.5501
angles: 90.00 90.00 90.00
With the nearest neighbours (Å) after each atom.
Fractional coordinates of all 5 atoms:
Ge1 0.0000 0.5000 0.0000  2 Os 2.45
Os1 0.0000 0.0000 0.0000  4 S 2.28, 2 Ge 2.45
S1 0.0000 0.0000 0.5000  2 Os 2.28
S2 0.5000 0.0000 0.0000  2 Os 2.28
Zr1 0.5000 0.5000 0.5000  4 Ge 3.22, 8 S 3.34

The final energy is -6.05 eV per atom. The value obtained for the total magnetic moment is 0.000 μB/cell. Its energy above the most stable polymorph in this dataset is 110 meV/atom. As for the formation energy from raw total energies: 0.477 eV/atom.